Entry 1:
CaSnAu | PBE-GGA | relaxed

Cell: 6.047 6.047 6.047 Å, 133.27 105.21 92.99°
Positions (direct):
1 Ca 0.000 0.000 0.000
2 Ca 0.557 0.057 0.500
3 Sn 0.153 0.361 0.792
4 Sn 0.569 0.361 0.208
5 Au 0.422 0.692 0.729
6 Au 0.963 0.692 0.271

Results
- VASP energy (Ry per atom) = -0.281
- energy of formation from the pure elements (meV/atom) = -730
- symmetry = No. 44
- D(E_F) (states/eV/cell) = 2.06

=====

Entry 2:
Ca2SnAu | PBE-GGA | relaxed

Cell: 6.787 6.787 6.787 Å, 104.71 104.71 119.49°
Positions (direct):
1 Ca 0.099 0.625 0.974
2 Ca 0.375 0.349 0.474
3 Ca 0.651 0.125 0.026
4 Ca 0.875 0.901 0.526
5 Sn 0.250 0.750 0.500
6 Sn 0.500 0.500 0.000
7 Au 0.000 0.000 0.000
8 Au 0.750 0.250 0.500

Results
- VASP energy (Ry per atom) = -0.238
- energy of formation from the pure elements (meV/atom) = -412
- symmetry = No. 122
- D(E_F) (states/eV/cell) = 7.01

=====

Entry 3:
Ca2SnAu3 | PBE-GGA | relaxed

Cell: 9.574 9.052 5.990 Å, 76.04 66.57 37.39°
Positions (direct):
1 Ca 0.238 0.762 0.762
2 Ca 0.250 0.250 0.250
3 Ca 0.750 0.750 0.750
4 Ca 0.762 0.238 0.238
5 Sn 0.334 0.334 0.666
6 Sn 0.666 0.666 0.334
7 Au 0.168 0.168 0.832
8 Au 0.169 0.664 0.336
9 Au 0.336 0.831 0.169
10 Au 0.664 0.169 0.831
11 Au 0.831 0.336 0.664
12 Au 0.832 0.832 0.168

Results
- VASP energy (Ry per atom) = -0.268
- energy of formation from the pure elements (meV/atom) = -677
- symmetry = No. 69
- D(E_F) (states/eV/cell) = 4.79

=====

Repeat the first record exactly.
CaSnAu | PBE-GGA | relaxed

Cell: 6.047 6.047 6.047 Å, 133.27 105.21 92.99°
Positions (direct):
1 Ca 0.000 0.000 0.000
2 Ca 0.557 0.057 0.500
3 Sn 0.153 0.361 0.792
4 Sn 0.569 0.361 0.208
5 Au 0.422 0.692 0.729
6 Au 0.963 0.692 0.271

Results
- VASP energy (Ry per atom) = -0.281
- energy of formation from the pure elements (meV/atom) = -730
- symmetry = No. 44
- D(E_F) (states/eV/cell) = 2.06

=====

Q: Look up the energy of formation from the pure elements of the third one.
A: -677 meV/atom

=====

Q: Which value of energy of formation from the pure elements does entry 3 give?
A: -677 meV/atom